Entry from Alexandria: a geometry-optimized TaIn2Cl structure (GGA-PBE).

a b c (Å): 7.185 7.185 7.185
angles (deg): 90.00 90.00 90.00
Space group Fm-3m (No. 225)
Asymmetric unit:
1 Ta 0.000 0.000 0.000
2 In 0.250 0.250 0.250
3 Cl 0.000 0.000 0.500

Calculated values
The energy relative to the elements, uncorrected is 2.62 eV per formula unit.